(A)
DFT (GGA-PBE) results for BeCd2In after structural relaxation.

POSCAR file:
```
BeCd2In
1.0
-4.709 0.743 1.071
3.046 -3.709 3.959
1.199 1.825 2.281
In Cd Be
1 2 1
Cartesian
2.123 -0.942 3.120
0.000 0.000 0.000
-1.755 1.284 1.676
-0.832 -1.483 2.515
```

The calculation puts the spin magnetization at 0.00 μB per formula unit. As for the space group: C2/m.

(B)
DFT (GGA-PBE) results for BeCd2In after structural relaxation.

POSCAR file:
```
BeCd2In
1.0
-8.001 -2.321 -2.664
3.530 -4.973 -6.270
-2.195 -5.494 -2.980
Be Cd In
2 4 2
Cartesian
-0.450 -7.057 -6.858
-2.236 -3.647 -4.467
-4.253 -3.198 -2.909
-2.946 -7.387 -6.255
-5.936 -9.972 -9.382
-0.198 -5.020 -5.281
0.000 0.000 0.000
-6.216 -5.731 -5.055
```

The calculation puts the spin magnetization at 0.00 μB per formula unit. As for the space group: I-42d.

(C)
DFT (GGA-PBE) results for BeCd2In after structural relaxation.

POSCAR file:
```
BeCd2In
1.0
-4.709 4.800 6.172
-3.166 2.734 8.112
-1.694 5.435 7.134
Be Cd In
1 2 1
Cartesian
-7.176 9.727 16.064
-0.139 0.189 0.312
-4.645 6.295 10.397
-2.392 3.242 5.355
```

The calculation puts the spin magnetization at 0.00 μB per formula unit. As for the space group: R-3m.

(D)
DFT (GGA-PBE) results for BeCd2In after structural relaxation.

POSCAR file:
```
BeCd2In
1.0
-2.394 0.189 -4.122
-3.886 -1.648 -2.224
-4.889 4.429 0.442
In Cd Be
1 2 1
Cartesian
-5.960 1.277 -3.448
-6.520 -0.844 -5.941
-8.579 2.348 -4.471
-1.976 0.217 -1.343
```

The calculation puts the spin magnetization at 0.00 μB per formula unit. As for the space group: Cm.

What should be chosen as the most stable of them? Choose (D).

(A)
DFT (GGA-PBE) results for BeCd2In after structural relaxation.

POSCAR file:
```
BeCd2In
1.0
-1.304 2.917 0.279
-1.148 -0.061 -4.732
-5.238 -2.196 -1.529
In Cd Be
1 2 1
Cartesian
-3.845 0.330 -2.991
-1.226 1.428 -2.227
0.000 0.000 0.000
-2.619 -1.098 -0.765
```

The calculation puts the spin magnetization at 0.00 μB per formula unit. As for the space group: P2/m.

(B)
DFT (GGA-PBE) results for BeCd2In after structural relaxation.

POSCAR file:
```
BeCd2In
1.0
-1.354 -2.737 0.446
1.542 -1.156 -2.410
6.244 -2.261 5.081
Cd In Be
2 1 1
Cartesian
5.893 -2.134 4.795
3.472 -1.258 2.825
1.655 -2.512 0.288
4.777 -3.643 2.829
```

The calculation puts the spin magnetization at 0.00 μB per formula unit. As for the space group: P4/mmm.

What should be chosen as the most stable of them? Choose (B).

(A)
DFT (GGA-PBE) results for BeCd2In2 after structural relaxation.

POSCAR file:
```
BeCd2In2
1.0
6.859 0.000 0.000
0.000 6.859 0.000
0.000 0.000 4.917
Be In Cd
2 4 4
Cartesian
0.000 0.000 0.000
3.429 3.429 0.000
2.325 5.754 0.000
5.754 4.534 0.000
4.534 1.105 0.000
1.105 2.325 0.000
1.086 4.515 2.459
5.773 2.343 2.459
2.343 1.086 2.459
4.515 5.773 2.459
```

The calculation puts the spin magnetization at 0.00 μB per formula unit. As for the space group: P4/mbm.

(B)
DFT (GGA-PBE) results for BeCd2In2 after structural relaxation.

POSCAR file:
```
BeCd2In2
1.0
6.841 0.000 0.000
0.000 6.841 0.000
0.000 0.000 4.960
Cd In Be
4 4 2
Cartesian
5.709 4.553 0.000
1.132 2.288 0.000
4.553 1.132 0.000
2.288 5.709 0.000
4.526 5.736 2.480
2.315 1.105 2.480
1.105 4.526 2.480
5.736 2.315 2.480
3.420 3.420 0.000
0.000 0.000 0.000
```

The calculation puts the spin magnetization at 0.00 μB per formula unit. As for the space group: P4/mbm.

What should be chosen as the most stable of them? Choose (A).

(A)
DFT (GGA-PBE) results for Be2Cd2In after structural relaxation.

POSCAR file:
```
Be2Cd2In
1.0
3.778 0.000 0.000
0.000 3.778 0.000
1.889 1.889 6.464
Cd Be In
2 2 1
Cartesian
1.889 1.889 1.526
3.778 3.778 4.939
1.889 3.778 3.232
3.778 1.889 3.232
0.000 0.000 0.000
```

The calculation puts the spin magnetization at 0.00 μB per formula unit. As for the space group: I4/mmm.

(B)
DFT (GGA-PBE) results for Be2Cd2In after structural relaxation.

POSCAR file:
```
Be2Cd2In
1.0
-0.166 -4.873 4.062
2.322 -0.068 5.906
-3.594 3.389 -3.985
Cd Be In
2 2 1
Cartesian
-0.097 0.426 3.453
-1.341 -1.977 2.531
1.278 -2.929 5.909
0.878 -2.012 4.060
0.000 0.000 0.000
```

The calculation puts the spin magnetization at 0.00 μB per formula unit. As for the space group: I4/mmm.

What should be chosen as the most stable of them? Choose (B).

(A)
DFT (GGA-PBE) results for Be3CdIn after structural relaxation.

POSCAR file:
```
Be3CdIn
1.0
4.540 0.000 0.000
0.000 4.540 0.000
0.000 0.000 4.540
Be In Cd
3 1 1
Cartesian
2.270 0.000 0.000
0.000 0.000 2.270
0.000 2.270 0.000
2.270 2.270 2.270
0.000 0.000 0.000
```

The calculation puts the spin magnetization at 0.00 μB per formula unit. As for the space group: Pm-3m.

(B)
DFT (GGA-PBE) results for Be3CdIn after structural relaxation.

POSCAR file:
```
Be3CdIn
1.0
-3.094 -1.650 2.988
2.489 -3.849 0.452
2.335 1.918 3.477
In Cd Be
1 1 3
Cartesian
0.000 0.000 0.000
0.865 -1.790 3.458
-1.547 -0.825 1.494
1.245 -1.925 0.226
1.167 0.959 1.738
```

The calculation puts the spin magnetization at 0.00 μB per formula unit. As for the space group: Pm-3m.

What should be chosen as the most stable of them? Choose (A).

(A)
DFT (GGA-PBE) results for K2BeCd after structural relaxation.

POSCAR file:
```
K2BeCd
1.0
-0.838 5.411 9.523
-0.406 1.556 10.867
2.909 3.775 9.898
K Cd Be
2 1 1
Cartesian
0.848 5.470 15.422
1.650 10.644 30.010
1.249 8.057 22.716
0.416 2.686 7.572
```

The calculation puts the spin magnetization at 0.11 μB per formula unit. As for the space group: R-3m.

(B)
DFT (GGA-PBE) results for K2BeCd after structural relaxation.

POSCAR file:
```
K2BeCd
1.0
-3.840 -2.653 -0.793
3.474 -4.933 -0.319
1.171 -3.199 5.028
Be Cd K
1 1 2
Cartesian
2.903 -5.080 2.937
0.982 -6.411 2.558
4.453 -7.793 4.507
-0.564 -3.700 0.979
```

The calculation puts the spin magnetization at 0.00 μB per formula unit. As for the space group: Amm2.

What should be chosen as the most stable of them? Choose (B).

(A)
DFT (GGA-PBE) results for K2BeCd after structural relaxation.

POSCAR file:
```
K2BeCd
1.0
6.374 -0.086 -0.028
1.687 6.147 0.028
-3.366 -3.915 3.739
Be Cd K
1 1 2
Cartesian
4.909 3.691 0.000
2.714 -1.091 1.856
7.749 5.826 0.000
1.416 2.812 1.884
```

The calculation puts the spin magnetization at 0.00 μB per formula unit. As for the space group: Imm2.

(B)
DFT (GGA-PBE) results for K2BeCd after structural relaxation.

POSCAR file:
```
K2BeCd
1.0
5.582 0.000 0.000
2.791 4.834 0.000
2.791 1.611 4.557
K Cd Be
2 1 1
Cartesian
2.791 1.611 1.139
0.000 0.000 0.000
8.373 4.834 3.418
5.582 3.223 2.279
```

The calculation puts the spin magnetization at 0.00 μB per formula unit. As for the space group: F-43m.

(C)
DFT (GGA-PBE) results for K2BeCd after structural relaxation.

POSCAR file:
```
K2BeCd
1.0
-0.716 -3.426 1.062
2.892 0.137 2.234
-5.945 3.559 7.478
Cd Be K
1 1 2
Cartesian
-2.792 0.679 6.528
-3.552 2.126 4.468
-5.507 3.297 6.927
-0.836 -0.492 4.069
```

The calculation puts the spin magnetization at 0.00 μB per formula unit. As for the space group: Cmm2.

(D)
DFT (GGA-PBE) results for K2BeCd after structural relaxation.

POSCAR file:
```
K2BeCd
1.0
-2.335 0.537 -3.328
1.377 -3.543 -1.540
-6.428 -4.166 3.838
Cd K Be
1 2 1
Cartesian
-5.300 -4.627 0.444
-0.142 -0.092 0.084
-3.072 -1.991 1.834
-2.086 -2.544 -1.475
```

The calculation puts the spin magnetization at 0.00 μB per formula unit. As for the space group: P4/mmm.

What should be chosen as the most stable of them? Choose (A).

(A)
DFT (GGA-PBE) results for K2BeCd after structural relaxation.

POSCAR file:
```
K2BeCd
1.0
12.396 0.000 0.000
0.000 12.396 0.000
6.198 6.198 2.365
Be K Cd
2 4 2
Cartesian
6.198 6.198 0.000
6.198 12.396 1.182
9.297 11.481 1.774
5.283 9.297 0.591
7.114 3.099 0.591
15.495 13.312 1.774
0.000 0.000 0.000
12.396 6.198 1.182
```

The calculation puts the spin magnetization at 0.00 μB per formula unit. As for the space group: I-42d.

(B)
DFT (GGA-PBE) results for K2BeCd after structural relaxation.

POSCAR file:
```
K2BeCd
1.0
-2.261 0.491 -3.769
-2.166 -3.480 -1.660
-8.914 1.342 2.930
Cd K Be
1 2 1
Cartesian
-4.261 -0.116 -0.026
-5.194 -2.748 -4.940
-9.231 -1.470 -2.351
-5.753 -1.126 -1.860
```

The calculation puts the spin magnetization at 0.00 μB per formula unit. As for the space group: Cm.

What should be chosen as the most stable of them? Choose (B).